Density functional theory data (SCAN) for a PBEsol-optimized structure of La2YMg.

Unit cell a=8.0517 b=8.1705 c=3.8006 alpha=90.00 beta=90.00 gamma=90.00
With the nearest neighbours (Å) after each atom.
Space group Cmmm (No. 65)
Inequivalent atoms, fractional coordinates:
La1 0.2500 0.2500 0.0000 (multiplicity 4)  4 Mg 3.44, 4 Y 3.44, 2 La 3.80
Y1 0.0000 0.0000 0.5000 (multiplicity 2)  8 La 3.44, 2 Y 3.80
Mg1 0.0000 0.5000 0.5000 (multiplicity 2)  8 La 3.44, 2 Mg 3.80

Summary:
Energy of formation ... -1 kJ/mol of atoms
Total energy ... -119.052 eV per formula unit

=====

Density functional theory data (SCAN) for a PBEsol-optimized structure of LaMg4Zn.

Unit cell a=8.3703 b=8.3703 c=8.3703 alpha=90.00 beta=90.00 gamma=90.00
With the nearest neighbours (Å) after each atom.
Space group F-43m (No. 216)
Inequivalent atoms, fractional coordinates:
La1 0.0000 0.0000 0.0000 (multiplicity 4)  12 Mg 3.47, 4 Zn 3.62
Mg1 0.1248 0.1248 0.3752 (multiplicity 16)  6 Mg 2.95-2.96
Zn1 0.2500 0.2500 0.7500 (multiplicity 4)  12 Mg 3.47, 4 La 3.62

Summary:
Energy of formation ... 7 kJ/mol of atoms
Total energy ... -76.054 eV per formula unit

=====

Density functional theory data (SCAN) for a PBEsol-optimized structure of LaMg2Zn.

Unit cell a=7.1841 b=7.1841 c=7.1841 alpha=90.00 beta=90.00 gamma=90.00
With the nearest neighbours (Å) after each atom.
Space group F-43m (No. 216)
Inequivalent atoms, fractional coordinates:
La1 0.0000 0.0000 0.0000 (multiplicity 4)  4 Mg 3.11, 4 Zn 3.11
Mg1 0.0000 0.0000 0.5000 (multiplicity 4)  4 Zn 3.11, 4 Mg 3.11
Mg2 0.2500 0.2500 0.2500 (multiplicity 4)  4 La 3.11, 4 Mg 3.11
Zn1 0.2500 0.2500 0.7500 (multiplicity 4)  4 La 3.11, 4 Mg 3.11

Summary:
Energy of formation ... -22 kJ/mol of atoms
Total energy ... -67.497 eV per formula unit

=====

Density functional theory data (SCAN) for a PBEsol-optimized structure of LaMgZr2.

Unit cell a=3.2076 b=3.2076 c=9.7412 alpha=90.00 beta=90.00 gamma=90.00
With the nearest neighbours (Å) after each atom.
Space group P4mm (No. 99)
Inequivalent atoms, fractional coordinates:
La1 0.0000 0.0000 0.0000 (multiplicity 1)  4 La 3.21, 4 Zr 3.48, 4 Mg 3.51
Mg1 0.5000 0.5000 0.2753 (multiplicity 1)  4 Mg 3.21, 4 Zr 3.23, 4 La 3.51
Zr1 0.0000 0.0000 0.5110 (multiplicity 1)  8 Zr 3.11-3.21, 4 Mg 3.23
Zr2 0.5000 0.5000 0.7290 (multiplicity 1)  8 Zr 3.11-3.21

Summary:
Energy of formation ... 4 kJ/mol of atoms
Total energy ... -109.323 eV per formula unit

=====

Density functional theory data (SCAN) for a PBEsol-optimized structure of LaMg2Zr.

Unit cell a=6.4187 b=9.6488 c=3.1635 alpha=90.00 beta=90.00 gamma=90.00
With the nearest neighbours (Å) after each atom.
Space group Cmmm (No. 65)
Inequivalent atoms, fractional coordinates:
La1 0.0000 0.0000 0.0000 (multiplicity 2)  2 La 3.16, 2 Zr 3.21, 8 Mg 3.30
Mg1 0.2500 0.2500 0.5000 (multiplicity 4)  4 Mg 3.16-3.21, 4 Zr 3.30, 4 La 3.30
Zr1 0.0000 0.5000 0.0000 (multiplicity 2)  2 Zr 3.16, 2 La 3.21, 8 Mg 3.30

Summary:
Energy of formation ... 7 kJ/mol of atoms
Total energy ... -83.445 eV per formula unit

=====

Density functional theory data (SCAN) for a PBEsol-optimized structure of LaMg2Zr.

Unit cell a=7.3708 b=7.3708 c=7.3708 alpha=90.00 beta=90.00 gamma=90.00
With the nearest neighbours (Å) after each atom.
Space group Fm-3m (No. 225)
Inequivalent atoms, fractional coordinates:
La1 0.0000 0.0000 0.0000 (multiplicity 4)  8 Mg 3.19
Mg1 0.2500 0.2500 0.2500 (multiplicity 8)  4 Zr 3.19, 4 La 3.19
Zr1 0.0000 0.0000 0.5000 (multiplicity 4)  8 Mg 3.19

Summary:
Energy of formation ... 7 kJ/mol of atoms
Total energy ... -83.452 eV per formula unit

=====

Density functional theory data (SCAN) for a PBEsol-optimized structure of LaMgZr2.

Unit cell a=4.5407 b=4.5407 c=9.4383 alpha=90.00 beta=90.00 gamma=90.00
With the nearest neighbours (Å) after each atom.
Space group I4/mmm (No. 139)
Inequivalent atoms, fractional coordinates:
La1 0.0000 0.0000 0.0000 (multiplicity 2)  4 Mg 3.21, 8 Zr 3.27
Mg1 0.0000 0.0000 0.5000 (multiplicity 2)  4 La 3.21, 8 Zr 3.27
Zr1 0.0000 0.5000 0.2500 (multiplicity 4)  4 Zr 3.21, 4 La 3.27, 4 Mg 3.27

Summary:
Energy of formation ... 17 kJ/mol of atoms
Total energy ... -108.763 eV per formula unit

=====

Density functional theory data (SCAN) for a PBEsol-optimized structure of LaMgZr2.

Unit cell a=3.3500 b=5.2790 c=5.5183 alpha=90.00 beta=90.00 gamma=90.00
With the nearest neighbours (Å) after each atom.
Space group Pmmm (No. 47)
Inequivalent atoms, fractional coordinates:
La1 0.0000 0.0000 0.0000 (multiplicity 1)  4 Zr 3.13, 4 Mg 3.23, 2 La 3.35
Mg1 0.5000 0.0000 0.5000 (multiplicity 1)  4 Zr 3.13, 4 La 3.23, 2 Mg 3.35
Zr1 0.0000 0.5000 0.5000 (multiplicity 1)  4 Mg 3.13, 6 Zr 3.23-3.35
Zr2 0.5000 0.5000 0.0000 (multiplicity 1)  4 La 3.13, 6 Zr 3.23-3.35

Summary:
Energy of formation ... 17 kJ/mol of atoms
Total energy ... -108.753 eV per formula unit

=====

Density functional theory data (SCAN) for a PBEsol-optimized structure of LaMgZr2.

Unit cell a=3.2485 b=5.2638 c=11.2416 alpha=90.00 beta=90.00 gamma=90.00
With the nearest neighbours (Å) after each atom.
Space group Cmmm (No. 65)
Inequivalent atoms, fractional coordinates:
La1 0.0000 0.0000 0.0000 (multiplicity 2)  6 La 3.09-3.25, 4 Zr 3.34
Mg1 0.0000 0.0000 0.5000 (multiplicity 2)  6 Mg 3.09-3.25, 4 Zr 3.15
Zr1 0.0000 0.5000 0.2598 (multiplicity 4)  6 Zr 3.09-3.25, 2 Mg 3.15, 2 La 3.34

Summary:
Energy of formation ... 22 kJ/mol of atoms
Total energy ... -108.558 eV per formula unit

=====

Density functional theory data (SCAN) for a PBEsol-optimized structure of LaMn2Mo.

Unit cell a=3.3606 b=4.6742 c=8.9527 alpha=90.00 beta=90.00 gamma=90.00
With the nearest neighbours (Å) after each atom.
Space group Immm (No. 71)
Inequivalent atoms, fractional coordinates:
La1 0.0000 0.0000 0.0000 (multiplicity 2)  4 Mo 2.88, 8 Mn 2.96-3.10
Mn1 0.0000 0.5000 0.2282 (multiplicity 4)  2 Mo 2.65, 4 Mn 2.90, 2 La 2.96
Mo1 0.0000 0.0000 0.5000 (multiplicity 2)  4 Mn 2.65, 4 La 2.88

Summary:
Energy of formation ... 46 kJ/mol of atoms
ΔE to the lowest computed polymorph ... 0.0 meV per atom
Total energy ... -112.600 eV per formula unit

=====

Density functional theory data (SCAN) for a PBEsol-optimized structure of LaMnMo3.

Unit cell a=4.5695 b=4.5695 c=4.5695 alpha=90.00 beta=90.00 gamma=90.00
With the nearest neighbours (Å) after each atom.
Space group Pm-3m (No. 221)
Inequivalent atoms, fractional coordinates:
La1 0.0000 0.0000 0.0000 (multiplicity 1)  12 Mo 3.23
Mn1 0.5000 0.5000 0.5000 (multiplicity 1)  6 Mo 2.28
Mo1 0.0000 0.5000 0.5000 (multiplicity 3)  2 Mn 2.28

Summary:
Energy of formation ... 79 kJ/mol of atoms
Total energy ... -161.916 eV per formula unit

=====

Density functional theory data (SCAN) for a PBEsol-optimized structure of La2MnMo.

Unit cell a=6.9573 b=6.9573 c=6.9573 alpha=90.00 beta=90.00 gamma=90.00
With the nearest neighbours (Å) after each atom.
Space group F-43m (No. 216)
Inequivalent atoms, fractional coordinates:
La1 0.0000 0.0000 0.0000 (multiplicity 4)  4 Mn 3.01, 4 La 3.01
La2 0.2500 0.2500 0.2500 (multiplicity 4)  4 La 3.01, 4 Mo 3.01
Mn1 0.2500 0.2500 0.7500 (multiplicity 4)  4 La 3.01, 4 Mo 3.01
Mo1 0.0000 0.0000 0.5000 (multiplicity 4)  4 Mn 3.01, 4 La 3.01

Summary:
Energy of formation ... 44 kJ/mol of atoms
Total energy ... -137.523 eV per formula unit

=====

Please write out number 4 again, unchanged.
Density functional theory data (SCAN) for a PBEsol-optimized structure of LaMgZr2.

Unit cell a=3.2076 b=3.2076 c=9.7412 alpha=90.00 beta=90.00 gamma=90.00
With the nearest neighbours (Å) after each atom.
Space group P4mm (No. 99)
Inequivalent atoms, fractional coordinates:
La1 0.0000 0.0000 0.0000 (multiplicity 1)  4 La 3.21, 4 Zr 3.48, 4 Mg 3.51
Mg1 0.5000 0.5000 0.2753 (multiplicity 1)  4 Mg 3.21, 4 Zr 3.23, 4 La 3.51
Zr1 0.0000 0.0000 0.5110 (multiplicity 1)  8 Zr 3.11-3.21, 4 Mg 3.23
Zr2 0.5000 0.5000 0.7290 (multiplicity 1)  8 Zr 3.11-3.21

Summary:
Energy of formation ... 4 kJ/mol of atoms
Total energy ... -109.323 eV per formula unit